DFT (GGA+U) results for crystalline FeOsO at its relaxed geometry.

Results
Its total energy is -22.066 eV/f.u. As for the magnetization: 0.946 μB/atom. For the density of states at the Fermi level, the calculation gives 0.630 states/eV per atom.

Cell: 2.732 2.745 5.088 Å, 90.00 90.00 90.00°
Space group Pmm2 (No. 25)
One atom of each set of equivalent atoms:
Fe 0.000 0.000 0.000 x1
Os 0.500 0.500 0.610 x1
O 0.000 0.500 0.313 x1